A plane-wave DFT calculation with PBE-GGA was carried out for BaEr2CuTe4 after structural relaxation.

a b c (Å): 7.701 7.701 15.237
angles (deg): 90.00 90.00 146.55
Fractional coordinates of all 16 atoms:
Ba1 0.121 0.879 0.750
Ba2 0.879 0.121 0.250
Er1 0.373 0.627 0.561
Er2 0.373 0.627 0.939
Er3 0.627 0.373 0.061
Er4 0.627 0.373 0.439
Cu1 0.153 0.847 0.250
Cu2 0.847 0.153 0.750
Te1 0.000 0.000 0.000
Te2 0.000 0.000 0.500
Te3 0.266 0.734 0.113
Te4 0.266 0.734 0.387
Te5 0.441 0.559 0.750
Te6 0.559 0.441 0.250
Te7 0.734 0.266 0.613
Te8 0.734 0.266 0.887

Values from the calculation:
Energy relative to the elements, uncorrected = -1.1917 eV/atom
Space-group type = Cmcm, No. 63
Calculated density = 7.0 g cm⁻³
Density of states at the Fermi level = 0.2943 states/eV per atom


A plane-wave DFT calculation with PBE-GGA was carried out for GaReBi2I after structural relaxation.

a b c (Å): 5.627 5.627 4.891
angles (deg): 90.00 90.00 90.00
Fractional coordinates of all 5 atoms:
Ga1 0.000 0.000 0.000
Re1 0.000 0.000 0.500
Bi1 0.000 0.500 0.000
Bi2 0.500 0.000 0.000
I1 0.500 0.500 0.500

Values from the calculation:
Energy relative to the elements, uncorrected = 1.1803 eV/atom
Space-group type = P4/mmm, No. 123
Calculated density = 8.6 g cm⁻³
Density of states at the Fermi level = 0.7999 states/eV per atom


Number 1: magnetic moment 0.000 μB/atom, VASP energy -4.66 eV/atom. Number 2: magnetic moment 0.536 μB/atom, VASP energy -3.78 eV/atom.